## Li2Ca2ErIn2 (PBE-GGA)

Data for a relaxed Li2Ca2ErIn2 crystal.

a = 9.565 Å, b = 9.565 Å, c = 9.565 Å
α = 29.94°, β = 29.94°, γ = 29.94°
Sites, in units of the cell vectors:
1 Li 0.113 0.113 0.113
2 Li 0.887 0.887 0.887
3 Ca 0.376 0.376 0.376
4 Ca 0.624 0.624 0.624
5 Er 0.500 0.500 0.500
6 In 0.229 0.229 0.229
7 In 0.771 0.771 0.771

Output
VASP energy: -2.806 eV/atom
symmetry: R-3m (166)
formation energy: -0.25 eV per atom

***

## Ca2ErMg2In5 (PBE-GGA)

Data for a relaxed Ca2ErMg2In5 crystal.

a = 10.779 Å, b = 10.779 Å, c = 4.524 Å
α = 90.00°, β = 90.00°, γ = 90.00°
Sites, in units of the cell vectors:
1 Ca 0.173 0.327 0.000
2 Ca 0.327 0.827 0.000
3 Ca 0.673 0.173 0.000
4 Ca 0.827 0.673 0.000
5 Er 0.000 0.000 0.000
6 Er 0.500 0.500 0.000
7 Mg 0.123 0.623 0.000
8 Mg 0.377 0.123 0.000
9 Mg 0.623 0.877 0.000
10 Mg 0.877 0.377 0.000
11 In 0.000 0.500 0.500
12 In 0.070 0.796 0.500
13 In 0.204 0.070 0.500
14 In 0.296 0.570 0.500
15 In 0.430 0.296 0.500
16 In 0.500 0.000 0.500
17 In 0.570 0.704 0.500
18 In 0.704 0.430 0.500
19 In 0.796 0.930 0.500
20 In 0.930 0.204 0.500

Output
VASP energy: -2.829 eV/atom
symmetry: P4/mbm (127)
formation energy: -0.28 eV per atom

***

## NaCaErIn (PBE-GGA)

Data for a relaxed NaCaErIn crystal.

a = 5.461 Å, b = 5.461 Å, c = 5.461 Å
α = 60.00°, β = 60.00°, γ = 60.00°
Sites, in units of the cell vectors:
1 Na 0.000 0.000 0.000
2 Ca 0.750 0.750 0.750
3 Er 0.250 0.250 0.250
4 In 0.500 0.500 0.500

Output
VASP energy: -2.801 eV/atom
symmetry: F-43m (216)
formation energy: -0.15 eV per atom

***

## CaNdErIn (PBE-GGA)

Data for a relaxed CaNdErIn crystal.

a = 5.541 Å, b = 5.541 Å, c = 5.541 Å
α = 60.00°, β = 60.00°, γ = 60.00°
Sites, in units of the cell vectors:
1 Ca 0.000 0.000 0.000
2 Nd 0.250 0.250 0.250
3 Er 0.750 0.750 0.750
4 In 0.500 0.500 0.500

Output
VASP energy: -3.668 eV/atom
symmetry: F-43m (216)
formation energy: -0.15 eV per atom

***

## CaErIn4O8 (PBE-GGA)

Data for a relaxed CaErIn4O8 crystal.

a = 6.703 Å, b = 6.703 Å, c = 6.703 Å
α = 59.56°, β = 59.56°, γ = 59.56°
Sites, in units of the cell vectors:
1 Ca 0.000 0.000 0.000
2 Er 0.626 0.626 0.626
3 In 0.121 0.625 0.625
4 In 0.249 0.249 0.249
5 In 0.625 0.121 0.625
6 In 0.625 0.625 0.121
7 O 0.382 0.382 0.844
8 O 0.382 0.844 0.382
9 O 0.387 0.387 0.387
10 O 0.414 0.862 0.862
11 O 0.844 0.382 0.382
12 O 0.860 0.860 0.860
13 O 0.862 0.414 0.862
14 O 0.862 0.862 0.414

Output
energy relative to the elements, uncorrected: -2.055 eV/atom
VASP energy: -6.139 eV/atom
symmetry: R3m (160)

***

## CaErInPd (PBE-GGA)

Data for a relaxed CaErInPd crystal.

a = 5.152 Å, b = 5.152 Å, c = 5.152 Å
α = 60.00°, β = 60.00°, γ = 60.00°
Sites, in units of the cell vectors:
1 Ca 0.000 0.000 0.000
2 Er 0.500 0.500 0.500
3 In 0.250 0.250 0.250
4 Pd 0.750 0.750 0.750

Output
VASP energy: -4.177 eV/atom
symmetry: F-43m (216)
formation energy: -0.55 eV per atom

***

## CaEr2InPd4 (PBE-GGA)

Data for a relaxed CaEr2InPd4 crystal.

a = 8.457 Å, b = 8.457 Å, c = 8.457 Å
α = 33.33°, β = 33.33°, γ = 33.33°
Sites, in units of the cell vectors:
1 Ca 0.000 0.000 0.000
2 Er 0.247 0.247 0.247
3 Er 0.753 0.753 0.753
4 In 0.500 0.500 0.500
5 Pd 0.127 0.127 0.127
6 Pd 0.379 0.379 0.379
7 Pd 0.621 0.621 0.621
8 Pd 0.873 0.873 0.873

Output
VASP energy: -5.116 eV/atom
symmetry: R-3m (166)
formation energy: -0.79 eV per atom

***

## CaPmErIn (PBE-GGA)

Data for a relaxed CaPmErIn crystal.

a = 5.525 Å, b = 5.525 Å, c = 5.525 Å
α = 60.00°, β = 60.00°, γ = 60.00°
Sites, in units of the cell vectors:
1 Ca 0.000 0.000 0.000
2 Pm 0.750 0.750 0.750
3 Er 0.250 0.250 0.250
4 In 0.500 0.500 0.500

Output
VASP energy: -3.660 eV/atom
symmetry: F-43m (216)
formation energy: -0.15 eV per atom

***

## CaPmEr2In4 (PBE-GGA)

Data for a relaxed CaPmEr2In4 crystal.

a = 9.321 Å, b = 9.321 Å, c = 9.321 Å
α = 33.34°, β = 33.34°, γ = 33.34°
Sites, in units of the cell vectors:
1 Ca 0.000 0.000 0.000
2 Pm 0.500 0.500 0.500
3 Er 0.252 0.252 0.252
4 Er 0.748 0.748 0.748
5 In 0.125 0.125 0.125
6 In 0.375 0.375 0.375
7 In 0.625 0.625 0.625
8 In 0.875 0.875 0.875

Output
VASP energy: -3.807 eV/atom
symmetry: R-3m (166)
formation energy: -0.45 eV per atom

***

## CaPrErIn (PBE-GGA)

Data for a relaxed CaPrErIn crystal.

a = 5.558 Å, b = 5.558 Å, c = 5.558 Å
α = 60.00°, β = 60.00°, γ = 60.00°
Sites, in units of the cell vectors:
1 Ca 0.000 0.000 0.000
2 Pr 0.250 0.250 0.250
3 Er 0.750 0.750 0.750
4 In 0.500 0.500 0.500

Output
VASP energy: -3.675 eV/atom
symmetry: F-43m (216)
formation energy: -0.15 eV per atom

***

## CaEr2InRh4 (PBE-GGA)

Data for a relaxed CaEr2InRh4 crystal.

a = 8.220 Å, b = 8.220 Å, c = 8.220 Å
α = 33.50°, β = 33.50°, γ = 33.50°
Sites, in units of the cell vectors:
1 Ca 0.000 0.000 0.000
2 Er 0.247 0.247 0.247
3 Er 0.753 0.753 0.753
4 In 0.500 0.500 0.500
5 Rh 0.127 0.127 0.127
6 Rh 0.378 0.378 0.378
7 Rh 0.622 0.622 0.622
8 Rh 0.873 0.873 0.873

Output
VASP energy: -6.114 eV/atom
symmetry: R-3m (166)
formation energy: -0.71 eV per atom

***

## CaSmEr2In4 (PBE-GGA)

Data for a relaxed CaSmEr2In4 crystal.

a = 9.304 Å, b = 9.304 Å, c = 9.304 Å
α = 33.36°, β = 33.36°, γ = 33.36°
Sites, in units of the cell vectors:
1 Ca 0.000 0.000 0.000
2 Sm 0.500 0.500 0.500
3 Er 0.252 0.252 0.252
4 Er 0.748 0.748 0.748
5 In 0.125 0.125 0.125
6 In 0.375 0.375 0.375
7 In 0.625 0.625 0.625
8 In 0.875 0.875 0.875

Output
VASP energy: -3.801 eV/atom
symmetry: R-3m (166)
formation energy: -0.45 eV per atom

***

## CaSmErIn (PBE-GGA)

Data for a relaxed CaSmErIn crystal.

a = 5.514 Å, b = 5.514 Å, c = 5.514 Å
α = 60.00°, β = 60.00°, γ = 60.00°
Sites, in units of the cell vectors:
1 Ca 0.000 0.000 0.000
2 Sm 0.250 0.250 0.250
3 Er 0.750 0.750 0.750
4 In 0.500 0.500 0.500

Output
VASP energy: -3.647 eV/atom
symmetry: F-43m (216)
formation energy: -0.14 eV per atom

***

## CaEr2In3Te6 (PBE-GGA)

Data for a relaxed CaEr2In3Te6 crystal.

a = 7.690 Å, b = 7.690 Å, c = 8.206 Å
α = 98.96°, β = 98.96°, γ = 120.00°
Sites, in units of the cell vectors:
1 Ca 0.000 0.000 0.000
2 Er 0.332 0.668 0.000
3 Er 0.668 0.332 0.000
4 In 0.164 0.836 0.500
5 In 0.500 0.500 0.500
6 In 0.836 0.164 0.500
7 Te 0.076 0.421 0.228
8 Te 0.271 0.271 0.777
9 Te 0.421 0.076 0.228
10 Te 0.579 0.924 0.772
11 Te 0.729 0.729 0.223
12 Te 0.924 0.579 0.772

Output
energy relative to the elements, uncorrected: -0.929 eV/atom
VASP energy: -4.112 eV/atom
symmetry: C2/m (12)

***

## CaErTlIn (PBE-GGA)

Data for a relaxed CaErTlIn crystal.

a = 5.388 Å, b = 5.388 Å, c = 5.388 Å
α = 60.00°, β = 60.00°, γ = 60.00°
Sites, in units of the cell vectors:
1 Ca 0.000 0.000 0.000
2 Er 0.500 0.500 0.500
3 Tl 0.250 0.250 0.250
4 In 0.750 0.750 0.750

Output
VASP energy: -3.311 eV/atom
symmetry: F-43m (216)
formation energy: -0.39 eV per atom

***

## CaYErIn (PBE-GGA)

Data for a relaxed CaYErIn crystal.

a = 5.481 Å, b = 5.481 Å, c = 5.481 Å
α = 60.00°, β = 60.00°, γ = 60.00°
Sites, in units of the cell vectors:
1 Ca 0.000 0.000 0.000
2 Y 0.250 0.250 0.250
3 Er 0.750 0.750 0.750
4 In 0.500 0.500 0.500

Output
VASP energy: -4.078 eV/atom
symmetry: F-43m (216)
formation energy: -0.14 eV per atom

***

## CaErZnIn (PBE-GGA)

Data for a relaxed CaErZnIn crystal.

a = 5.231 Å, b = 5.231 Å, c = 5.231 Å
α = 60.00°, β = 60.00°, γ = 60.00°
Sites, in units of the cell vectors:
1 Ca 0.000 0.000 0.000
2 Er 0.500 0.500 0.500
3 Zn 0.250 0.250 0.250
4 In 0.750 0.750 0.750

Output
ΔE to the lowest computed polymorph: 0.06 eV per formula unit
VASP energy: -3.013 eV/atom
symmetry: F-43m (216)
formation energy: -0.37 eV per atom

***

## CaErZnIn (PBE-GGA)

Data for a relaxed CaErZnIn crystal.

a = 3.650 Å, b = 3.650 Å, c = 7.599 Å
α = 90.00°, β = 90.00°, γ = 90.00°
Sites, in units of the cell vectors:
1 Ca 0.000 0.000 0.000
2 Er 0.000 0.000 0.536
3 Zn 0.500 0.500 0.749
4 In 0.500 0.500 0.277

Output
ΔE to the lowest computed polymorph: 0.00 eV per formula unit
VASP energy: -3.028 eV/atom
symmetry: P4mm (99)
formation energy: -0.38 eV per atom

***

## CaErIr (PBE-GGA)

Data for a relaxed CaErIr crystal.

a = 6.830 Å, b = 3.659 Å, c = 6.861 Å
α = 90.00°, β = 103.41°, γ = 90.00°
Sites, in units of the cell vectors:
1 Ca 0.000 0.000 0.000
2 Ca 0.493 0.500 0.937
3 Er 0.372 0.500 0.440
4 Er 0.890 0.500 0.512
5 Ir 0.201 0.000 0.662
6 Ir 0.648 0.000 0.664

Output
ΔE to the lowest computed polymorph: 0.40 eV per formula unit
VASP energy: -5.584 eV/atom
symmetry: Pm (6)
formation energy: -0.44 eV per atom

***

## CaErIr (PBE-GGA)

Data for a relaxed CaErIr crystal.

a = 4.794 Å, b = 4.794 Å, c = 4.794 Å
α = 60.00°, β = 60.00°, γ = 60.00°
Sites, in units of the cell vectors:
1 Ca 0.000 0.000 0.000
2 Er 0.500 0.500 0.500
3 Ir 0.250 0.250 0.250

Output
ΔE to the lowest computed polymorph: 0.16 eV per formula unit
VASP energy: -5.664 eV/atom
symmetry: F-43m (216)
formation energy: -0.52 eV per atom